## Tl4HgSe2 (PBE)

Data for a relaxed Tl4HgSe2 crystal.

Cell: 4.3711 7.4384 9.3260 Å, 116.96 103.55 90.00°
With the nearest neighbours (Å) after each atom.
Fractional coordinates of all 7 atoms:
1 Se 0.7700 0.7712 0.5399  6 Tl 3.04-3.12
2 Se 0.2300 0.2288 0.4601  6 Tl 3.04-3.12
3 Tl 0.8512 0.4946 0.7024  3 Se 3.04-3.08
4 Tl 0.6347 0.9191 0.2695  3 Se 3.06-3.12
5 Tl 0.3653 0.0809 0.7305  3 Se 3.06-3.12
6 Tl 0.1488 0.5054 0.2976  3 Se 3.04-3.08
7 Hg 0.0000 0.0000 0.0000  6 Tl 3.46-3.53, 2 Se 3.70

SG ... C2/m
Uncorrected energy ... -2.694 eV per atom
Excess energy over the best structure of this formula in the dataset ... 0.000 eV per formula unit
Uncorrected formation energy ... -29 kJ/mol of atoms

## LiCe4Y3Se8 (PBE)

Data for a relaxed LiCe4Y3Se8 crystal.

Cell: 8.2331 8.3244 8.2332 Å, 119.64 120.00 90.00°
With the nearest neighbours (Å) after each atom.
Fractional coordinates of all 16 atoms:
1 Ce 0.0000 0.0000 0.0000  6 Se 2.97
2 Ce 0.5000 0.0000 0.5000  6 Se 2.97
3 Ce 0.0000 0.0000 0.5000  6 Se 2.97
4 Ce 0.5000 0.0000 0.0000  6 Se 3.03
5 Se 0.2492 0.2659 0.0075  1 Li 2.83, 2 Y 2.88, 3 Ce 2.97-3.03
6 Se 0.2416 0.7341 0.9925  1 Li 2.83, 2 Y 2.88, 3 Ce 2.97-3.03
7 Se 0.7508 0.7341 0.9925  1 Li 2.83, 2 Y 2.88, 3 Ce 2.97-3.03
8 Se 0.7464 0.7393 0.4929  3 Y 2.88-2.89, 3 Ce 2.97
9 Se 0.7584 0.2659 0.0075  1 Li 2.83, 2 Y 2.88, 3 Ce 2.97-3.03
10 Se 0.2536 0.2607 0.5071  3 Y 2.88-2.89, 3 Ce 2.97
11 Se 0.7583 0.2658 0.5166  1 Li 2.83, 2 Y 2.88, 3 Ce 2.97-3.03
12 Se 0.2417 0.7342 0.4834  1 Li 2.83, 2 Y 2.88, 3 Ce 2.97-3.03
13 Li 0.0000 0.5000 0.0000  6 Se 2.83
14 Y 0.0000 0.5000 0.5000  6 Se 2.88
15 Y 0.5000 0.5000 0.5000  6 Se 2.88
16 Y 0.5000 0.5000 0.0000  6 Se 2.88-2.89

SG ... R-3m
Uncorrected energy ... -6.325 eV per atom
Uncorrected formation energy ... -171 kJ/mol of atoms

## LiCa2AgBr6 (PBE)

Data for a relaxed LiCa2AgBr6 crystal.

Cell: 7.2019 7.2043 7.7949 Å, 62.44 62.46 59.98°
With the nearest neighbours (Å) after each atom.
Fractional coordinates of all 10 atoms:
1 Br 0.2292 0.9355 0.2456  1 Li 2.73, 2 Ca 2.91-2.93, 1 Ag 3.04
2 Br 0.1069 0.4193 0.7546  1 Ag 2.84, 1 Li 2.89, 2 Ca 2.90-2.94
3 Br 0.5896 0.2291 0.2458  1 Li 2.73, 2 Ca 2.91-2.93, 1 Ag 3.04
4 Br 0.9358 0.5893 0.2454  1 Li 2.73, 2 Ca 2.91-2.93, 1 Ag 3.05
5 Br 0.4192 0.7192 0.7545  1 Ag 2.84, 1 Li 2.89, 2 Ca 2.90-2.94
6 Br 0.7190 0.1071 0.7549  1 Ag 2.84, 1 Li 2.88, 2 Ca 2.90-2.94
7 Li 0.3209 0.3210 0.0370  6 Br 2.73-2.89
8 Ca 0.0095 0.0094 0.9715  6 Br 2.90-2.93
9 Ca 0.5136 0.5134 0.4595  6 Br 2.91-2.94
10 Ag 0.8178 0.8183 0.5463  6 Br 2.84-3.05

SG ... R3
Uncorrected energy ... -3.451 eV per atom
Uncorrected formation energy ... -152 kJ/mol of atoms

| no. | theoretical density (g/cm³) |
| --- | --- |
| 1 | 7.5 |
| 2 | 6.1 |
| 3 | 3.8 |